# 1
meta-GGA SCAN BeTcBr2, PBEsol geometry; offset from the most stable computed form = 0.0000 eV/atom; formation energy without anion corrections = 0.03 eV per atom; calculated volume = 76.9 Å³/cell
1.0
3.211 0.000 0.000
0.000 3.417 -0.319
-1.606 -1.025 7.101
Br Be Tc
2 1 1
Cartesian
1.606 2.209 4.813
0.000 0.184 1.970
0.000 1.709 -0.159
1.606 0.000 0.000

=====

# 2
meta-GGA SCAN BeTc2Br, PBEsol geometry; offset from the most stable computed form = 0.2259 eV/atom; formation energy without anion corrections = 0.87 eV per atom; calculated volume = 51.4 Å³/cell
1.0
-1.663 3.576 1.362
-4.129 0.574 -0.157
-2.235 0.053 3.523
Br Tc Be
1 2 1
Cartesian
0.000 0.000 0.000
-2.007 1.051 1.182
-6.020 3.152 3.546
-4.013 2.101 2.364

=====

# 3
meta-GGA SCAN BeTcBr2, PBEsol geometry; offset from the most stable computed form = 0.0316 eV/atom; formation energy without anion corrections = 0.06 eV per atom; calculated volume = 76.2 Å³/cell
1.0
3.186 0.000 0.000
-1.593 3.146 -0.023
0.000 -0.852 7.609
Br Tc Be
2 1 1
Cartesian
0.000 1.877 2.664
1.593 2.264 7.089
0.000 2.232 5.200
1.593 0.936 4.000

=====

# 4
meta-GGA SCAN BeTc2Br, PBEsol geometry; offset from the most stable computed form = 0.3305 eV/atom; formation energy without anion corrections = 0.97 eV per atom; calculated volume = 56.6 Å³/cell
1.0
2.836 0.000 0.000
0.000 4.330 0.000
0.000 0.000 4.613
Tc Be Br
2 1 1
Cartesian
1.418 0.000 2.306
0.000 0.000 0.000
1.418 2.165 0.000
0.000 2.165 2.306

=====

# 5
meta-GGA SCAN BeTc2Br, PBEsol geometry; offset from the most stable computed form = 0.0000 eV/atom; formation energy without anion corrections = 0.64 eV per atom; calculated volume = 58.3 Å³/cell
1.0
2.834 0.005 0.000
-1.279 2.529 0.000
0.000 0.000 8.130
Tc Br Be
2 1 1
Cartesian
0.000 0.000 7.955
0.778 1.267 5.942
0.778 1.267 2.323
0.000 0.000 4.105

=====

# 6
meta-GGA SCAN BeTcBr, PBEsol geometry; offset from the most stable computed form = 0.5819 eV/atom; formation energy without anion corrections = 1.16 eV per atom; calculated volume = 47.5 Å³/cell
1.0
-2.809 -2.917 -0.358
0.641 -3.144 -2.497
0.705 -3.700 1.530
Br Be Tc
1 1 1
Cartesian
-0.731 -4.880 -0.662
0.000 0.000 0.000
-0.366 -2.440 -0.331